Entry from Alexandria via LeMat-Bulk: an optimized crystal structure of Tb2Pr6SmY (PBE).

a = 9.0380 Å, b = 9.0380 Å, c = 9.8168 Å
α = 94.09°, β = 94.09°, γ = 117.89°
Sites, in units of the cell vectors:
Tb1 0.1998 0.2969 0.0452
Tb2 0.2969 0.1998 0.5452
Tb3 0.7031 0.8002 0.4548
Tb4 0.8002 0.7031 0.9548
Pr1 0.0113 0.5650 0.1863
Pr2 0.1152 0.7587 0.5540
Pr3 0.2413 0.8848 0.9460
Pr4 0.2938 0.5086 0.3808
Pr5 0.4350 0.9887 0.3137
Pr6 0.4914 0.7062 0.1192
Pr7 0.5086 0.2938 0.8808
Pr8 0.5650 0.0113 0.6863
Pr9 0.7062 0.4914 0.6192
Pr10 0.7587 0.1152 0.0540
Pr11 0.8848 0.2413 0.4460
Pr12 0.9887 0.4350 0.8137
Sm1 0.0262 0.9738 0.2500
Sm2 0.9738 0.0262 0.7500
Y1 0.4099 0.5901 0.7500
Y2 0.5901 0.4099 0.2500

E_tot ... -0.3529 Ry per atom
Size of the total moment ... 0.00 μB per formula unit
Space group ... No. 15